# 1
Computed, not measured: an optimized crystal structure of Ba2Hg2Pb at the PBEsol level of DFT.

```
Ba2Hg2Pb
1.0
8.813 0.000 0.000
0.000 8.813 0.000
0.000 0.000 4.369
Ba Hg Pb
4 4 2
Direct
0.180 0.320 0.000 Ba
0.320 0.820 0.000 Ba
0.680 0.180 0.000 Ba
0.820 0.680 0.000 Ba
0.119 0.619 0.500 Hg
0.381 0.119 0.500 Hg
0.619 0.881 0.500 Hg
0.881 0.381 0.500 Hg
0.000 0.000 0.500 Pb
0.500 0.500 0.500 Pb
```

Properties
For the density of states at the Fermi level, the calculation gives 5.95 states/eV per cell. The value obtained for the magnetization is 0.00 μB per formula unit. The calculation puts the electronic total energy at -23.9 eV for the cell shown. As for the crystal system: tetragonal. The formation energy is -506.0 meV/atom. As for the density: 8.642 Mg/m³.

***

# 2
Computed, not measured: an optimized crystal structure of MgOs at the PBEsol level of DFT.

```
MgOs
1.0
2.855 0.000 0.000
0.000 2.855 0.000
0.000 0.000 8.159
Mg Os
2 2
Direct
0.250 0.250 0.163 Mg
0.750 0.750 0.837 Mg
0.250 0.250 0.598 Os
0.750 0.750 0.402 Os
```

Properties
For the density of states at the Fermi level, the calculation gives 2.18 states/eV per cell. The value obtained for the magnetization is 0.00 μB per formula unit. The calculation puts the electronic total energy at -27.6 eV for the cell shown. As for the crystal system: tetragonal. The formation energy is 73.0 meV/atom. As for the density: 10.714 Mg/m³.

***

# 3
Computed, not measured: an optimized crystal structure of KTl2Cl at the PBEsol level of DFT.

```
KTl2Cl
1.0
4.131 0.000 0.000
0.000 4.131 0.000
0.000 0.000 7.935
K Tl Cl
1 2 1
Direct
0.000 0.000 0.000 K
0.000 0.000 0.528 Tl
0.500 0.500 0.358 Tl
0.500 0.500 0.975 Cl
```

Properties
The energy above the most stable polymorph in this dataset is 0 meV/atom. For the density of states at the Fermi level, the calculation gives 1.53 states/eV per cell. The value obtained for the magnetization is 0.00 μB per formula unit. The calculation puts the electronic total energy at -11.1 eV for the cell shown. As for the crystal system: tetragonal. For the uncorrected formation energy, the calculation gives -0.679 eV per atom. As for the density: 5.927 Mg/m³.